Er3Te2C2 PBE relaxed; ΔE_f (raw) = -0.3588 eV/atom; D(E_F) = 4.273 states/eV/f.u.
1.0
-4.527 -5.670 -2.061
5.779 -4.678 0.177
-2.637 -3.073 4.865
Er Te C
6 4 4
Direct
0.500 0.500 0.000
0.000 0.000 0.000
0.770 0.130 0.597
0.730 0.630 0.403
0.270 0.370 0.597
0.230 0.870 0.403
0.916 0.639 0.817
0.416 0.861 0.817
0.584 0.139 0.183
0.084 0.361 0.183
0.565 0.388 0.650
0.935 0.888 0.350
0.065 0.112 0.650
0.435 0.612 0.350

=====

ErThTeC PBE relaxed; ΔE_f (raw) = -0.8197 eV/atom; D(E_F) = 2.135 states/eV/f.u.
1.0
-1.278 2.040 -2.994
-2.435 -1.078 2.769
3.040 5.159 4.681
Er Th Te C
1 1 1 1
Direct
0.096 0.946 0.057
0.513 0.154 0.682
0.961 0.379 0.355
0.308 0.552 0.875

=====

ErThC PBE relaxed; D(E_F) = 3.354 states/eV/f.u.; polymorph energy (0 for the lowest one) = 0.000 eV per formula unit; energy relative to the elements = -25 kJ per mole of atoms
1.0
-1.612 2.630 1.841
-5.540 -1.717 -2.396
0.941 -4.853 4.253
Er Th C
2 2 2
Direct
0.109 0.875 0.219
0.891 0.125 0.781
0.383 0.629 0.767
0.617 0.371 0.233
0.000 0.500 0.000
0.500 0.000 0.000

=====

Er2ThC PBE relaxed; D(E_F) = 3.797 states/eV/f.u.; energy relative to the elements = -8 kJ per mole of atoms
1.0
3.478 0.000 0.000
1.739 3.012 0.000
1.739 1.004 9.802
C Th Er
1 1 2
Direct
0.500 0.500 0.500
0.000 0.000 0.000
0.121 0.121 0.637
0.879 0.879 0.363

=====

ErTh5C3 PBE relaxed; D(E_F) = 8.991 states/eV/f.u.; energy relative to the elements = -16 kJ per mole of atoms
1.0
6.739 -0.283 -2.595
-2.246 6.679 -1.606
-0.363 0.401 9.592
Er Th C
2 10 6
Direct
0.793 0.903 0.696
0.207 0.097 0.304
0.709 0.041 0.335
0.709 0.709 0.000
0.797 0.235 0.032
0.793 0.567 0.360
0.207 0.433 0.640
0.203 0.765 0.968
0.294 0.626 0.335
0.291 0.291 0.000
0.291 0.959 0.665
0.706 0.374 0.665
0.500 0.333 0.832
0.007 0.329 0.336
0.000 0.000 0.000
0.500 0.000 0.500
0.500 0.667 0.168
0.993 0.671 0.664

=====

ErThC PBE relaxed; D(E_F) = 2.891 states/eV/f.u.; polymorph energy (0 for the lowest one) = 0.020 eV per formula unit; energy relative to the elements = -24 kJ per mole of atoms
1.0
-1.822 -3.976 4.454
4.655 -3.850 -1.424
4.218 3.354 4.720
Er Th C
4 4 4
Direct
0.714 0.579 0.125
0.286 0.921 0.625
0.286 0.421 0.875
0.714 0.079 0.375
0.265 0.915 0.126
0.735 0.585 0.626
0.735 0.085 0.874
0.265 0.415 0.374
0.497 0.246 0.125
0.503 0.254 0.625
0.503 0.754 0.875
0.497 0.746 0.375

=====

ErTh2C PBE relaxed; D(E_F) = 4.439 states/eV/f.u.; energy relative to the elements = 0 kJ per mole of atoms
1.0
-2.768 -0.450 -2.199
-0.736 -3.236 -1.298
-7.011 -2.993 6.548
C Th Er
1 2 1
Direct
0.500 0.500 0.500
0.116 0.116 0.652
0.884 0.884 0.348
0.000 0.000 0.000

=====

ErThC2 PBE relaxed; D(E_F) = 6.808 states/eV/f.u.; polymorph energy (0 for the lowest one) = 0.000 eV per formula unit; energy relative to the elements = -13 kJ per mole of atoms
1.0
-0.587 -3.652 -0.087
2.960 1.346 1.743
-6.696 1.063 2.745
Er Th C
1 1 2
Direct
0.000 0.500 0.000
0.000 0.500 0.500
0.499 0.502 0.752
0.501 0.498 0.248

=====

ErThC PBE relaxed; D(E_F) = 3.084 states/eV/f.u.; polymorph energy (0 for the lowest one) = 0.042 eV per formula unit; energy relative to the elements = -23 kJ per mole of atoms
1.0
3.580 0.000 0.000
-1.790 3.100 0.000
0.000 0.000 6.386
C Th Er
1 1 1
Direct
0.667 0.333 0.325
0.333 0.667 0.555
0.000 0.000 0.120

=====

Er2Th2C3 PBE relaxed; D(E_F) = 4.004 states/eV/f.u.; energy relative to the elements = -26 kJ per mole of atoms
1.0
3.640 0.000 0.000
0.000 6.218 -0.341
-1.820 -2.329 6.285
Er Th C
2 2 3
Direct
0.858 0.670 0.717
0.142 0.330 0.283
0.624 0.793 0.248
0.376 0.207 0.752
0.000 0.500 0.000
0.259 0.757 0.518
0.741 0.243 0.482

=====

ErTh3C4 PBE relaxed; D(E_F) = 3.575 states/eV/f.u.; energy relative to the elements = -24 kJ per mole of atoms
1.0
5.260 0.000 0.000
0.000 5.260 0.000
0.000 0.000 5.260
C Th Er
4 3 1
Direct
0.500 0.000 0.000
0.000 0.500 0.000
0.000 0.000 0.500
0.500 0.500 0.500
0.000 0.500 0.500
0.500 0.000 0.500
0.500 0.500 0.000
0.000 0.000 0.000

=====

ErThC2 PBE relaxed; D(E_F) = 4.282 states/eV/f.u.; polymorph energy (0 for the lowest one) = 0.686 eV per formula unit; energy relative to the elements = 4 kJ per mole of atoms
1.0
-3.230 1.218 -1.170
-0.790 -0.060 -3.557
-3.663 -5.190 -0.966
Er Th C
1 1 2
Direct
0.496 0.496 0.511
0.667 0.667 0.998
0.084 0.084 0.747
0.252 0.252 0.243

=====

Er3ThC2 PBE relaxed; D(E_F) = 4.868 states/eV/f.u.; energy relative to the elements = -27 kJ per mole of atoms
1.0
6.614 0.000 2.787
2.719 6.029 2.787
0.803 0.519 7.335
Er Th C
6 2 4
Direct
0.239 0.742 0.781
0.742 0.239 0.781
0.239 0.239 0.781
0.258 0.761 0.219
0.761 0.258 0.219
0.761 0.761 0.219
0.256 0.256 0.231
0.744 0.744 0.769
0.000 0.000 0.000
0.500 0.000 0.000
0.500 0.500 0.000
0.000 0.500 0.000

=====

Er2Th5C4 PBE relaxed; D(E_F) = 8.605 states/eV/f.u.; energy relative to the elements = 2 kJ per mole of atoms
1.0
-0.896 -2.986 1.788
0.455 -4.709 -7.637
9.072 0.630 1.988
Er Th C
2 5 4
Direct
0.457 0.640 0.914
0.543 0.360 0.086
0.876 0.312 0.753
0.124 0.688 0.247
0.796 0.665 0.591
0.500 0.000 0.000
0.204 0.335 0.409
0.330 0.491 0.660
0.987 0.192 0.973
0.670 0.509 0.340
0.013 0.808 0.027

=====

ErThC PBE relaxed; D(E_F) = 2.464 states/eV/f.u.; polymorph energy (0 for the lowest one) = 1.551 eV per formula unit; energy relative to the elements = 25 kJ per mole of atoms
1.0
-1.725 -2.373 1.379
0.931 -2.038 -2.342
5.157 0.637 3.738
C Th Er
1 1 1
Direct
0.329 0.329 0.659
0.716 0.716 0.433
0.954 0.954 0.908

=====

ErTh4C4 PBE relaxed; D(E_F) = 6.363 states/eV/f.u.; energy relative to the elements = -26 kJ per mole of atoms
1.0
4.978 0.001 1.996
2.447 5.859 1.104
0.309 -0.113 6.436
Er Th C
1 4 4
Direct
0.000 0.000 0.000
0.605 0.590 0.201
0.395 0.410 0.799
0.194 0.201 0.410
0.806 0.799 0.590
0.909 0.392 0.791
0.091 0.608 0.209
0.300 0.791 0.608
0.700 0.209 0.392

=====

ErThC PBE relaxed; D(E_F) = 3.171 states/eV/f.u.; polymorph energy (0 for the lowest one) = 0.009 eV per formula unit; energy relative to the elements = -24 kJ per mole of atoms
1.0
3.608 0.000 0.000
0.000 6.257 0.292
-1.804 -1.284 6.172
Th C Er
2 2 2
Direct
0.633 0.378 0.266
0.367 0.622 0.734
0.248 0.251 0.495
0.752 0.749 0.505
0.857 0.118 0.713
0.143 0.882 0.287

=====

ErThTlC PBE relaxed; D(E_F) = 3.053 states/eV/f.u.; energy relative to the elements = -33 kJ per mole of atoms
1.0
-1.798 -2.257 2.195
0.670 -0.959 -3.432
8.194 -1.630 2.054
Er Th Tl C
1 1 1 1
Direct
0.525 0.160 0.700
0.078 0.937 0.031
0.978 0.387 0.380
0.297 0.547 0.859

=====

Er2ThUC4 PBE relaxed; D(E_F) = 3.225 states/eV/f.u.; energy relative to the elements = -25 kJ per mole of atoms
1.0
-0.522 -3.424 1.134
5.595 0.012 2.612
-0.429 2.035 5.945
Er Th U C
2 1 1 4
Direct
0.000 0.000 0.000
0.500 0.000 0.500
0.000 0.500 0.500
0.500 0.500 0.000
0.000 0.730 0.773
0.000 0.270 0.227
0.500 0.731 0.226
0.500 0.269 0.774

=====

ErTh2UC4 PBE relaxed; D(E_F) = 5.535 states/eV/f.u.; energy relative to the elements = -23 kJ per mole of atoms
1.0
-2.453 1.976 1.893
0.758 -3.780 4.927
4.146 4.790 0.372
Er Th U C
1 2 1 4
Direct
0.500 0.500 0.000
0.500 0.000 0.500
0.000 0.500 0.500
0.000 0.000 0.000
0.500 0.225 0.220
0.500 0.775 0.780
0.000 0.234 0.770
0.000 0.766 0.230